Entry 1:
Below is a relaxed Hf3TaH crystal, with properties calculated at the GGA-PBE level.

Cell and atoms, written as extended XYZ:
```
5
Lattice="-3.1304 -2.9735 -2.7753 -0.5451 -3.1638 4.0046 -4.0308 2.7371 1.6138" Properties=species:S:1:pos:R:3 pbc="T T T"
H -3.8531 -1.7001 1.4215
Hf -0.2725 -1.5819 2.0023
Hf -2.0154 1.3686 0.8069
Hf -1.5652 -1.4868 -1.3877
Ta 0.0000 0.0000 0.0000
```

Properties
**Magnetic moment**: 0.000 Bohr magnetons per cell
**Crystal system**: cubic
**Relative energy among the computed polymorphs**: 1.679 eV per atom
**Space group**: Pm-3m, No. 221

***

Entry 2:
Below is a relaxed Hf3TaH crystal, with properties calculated at the GGA-PBE level.

Cell and atoms, written as extended XYZ:
```
5
Lattice="-0.7423 -2.1979 3.7716 -2.4539 -2.9539 -2.2044 3.6102 -2.4597 -0.7228" Properties=species:S:1:pos:R:3 pbc="T T T"
H 0.0000 0.0000 0.0000
Hf -1.2269 -1.4770 -1.1022
Hf 1.8051 -1.2299 -0.3614
Hf -0.3712 -1.0989 1.8858
Ta 0.2070 -3.8058 0.4222
```

Properties
**Magnetic moment**: 0.000 Bohr magnetons per cell
**Crystal system**: cubic
**Relative energy among the computed polymorphs**: 0.000 eV per atom
**Space group**: Pm-3m, No. 221

***

Entry 3:
Below is a relaxed HfTaH2 crystal, with properties calculated at the GGA-PBE level.

Cell and atoms, written as extended XYZ:
```
4
Lattice="0.0000 2.8311 2.8311 2.8311 0.0000 2.8311 2.8311 2.8311 0.0000" Properties=species:S:1:pos:R:3 pbc="T T T"
H 1.4156 1.4156 1.4156
H 4.2467 4.2467 4.2467
Hf 0.0000 0.0000 0.0000
Ta 2.8311 2.8311 2.8311
```

Properties
**Magnetic moment**: 0.000 Bohr magnetons per cell
**Crystal system**: cubic
**Relative energy among the computed polymorphs**: 0.706 eV per atom
**Space group**: Fm-3m, No. 225

***

Entry 4:
Below is a relaxed Hf5Ta3H12 crystal, with properties calculated at the GGA-PBE level.

Cell and atoms, written as extended XYZ:
```
80
Lattice="9.9903 0.0000 0.0000 -3.3301 9.4190 0.0000 -3.3301 -4.7095 8.1571" Properties=species:S:1:pos:R:3 pbc="T T T"
Ta 5.8277 2.9434 1.0196
Ta 5.8277 6.4755 1.0196
Ta -0.8325 4.1208 5.0982
Ta 0.8325 -0.5887 3.0589
Ta 7.4927 0.0000 2.0393
Ta 0.8325 4.7095 2.0393
Ta 2.4976 0.0000 6.1178
Ta -4.1626 4.7095 6.1178
Ta 2.4976 5.2982 5.0982
Ta 4.1626 0.5887 3.0589
Ta -2.4976 -1.7661 7.1374
Ta -2.4976 1.7661 7.1374
Hf -0.8325 2.3547 2.0393
Hf -1.6651 4.7095 0.0000
Hf 0.0000 0.0000 0.0000
Hf 2.4976 1.7661 1.0196
Hf 3.3301 -2.3547 4.0785
Hf 3.3301 4.7095 0.0000
Hf -2.4976 5.2982 3.0589
Hf 4.1626 -2.9434 7.1374
Hf 4.1626 4.1208 3.0589
Hf 0.8325 -2.3547 6.1178
Hf 2.4976 7.0642 2.0393
Hf 1.6651 2.3547 4.0785
Hf 4.9952 0.0000 0.0000
Hf -1.6651 -2.3547 4.0785
Hf -0.8325 0.5887 5.0982
Hf -0.8325 7.6529 1.0196
Hf -3.3301 2.3547 4.0785
Hf 5.8277 -0.5887 5.0982
Hf 0.8325 2.9434 7.1374
Hf 4.1626 2.3547 6.1178
H 6.5242 1.1147 0.6098
H 0.1360 3.4402 3.4181
H 7.1975 1.9706 2.2034
H 4.4579 1.4319 1.2702
H 1.1238 3.7894 5.3439
H 6.7922 4.7415 1.2654
H -0.5373 5.2482 3.4736
H -2.7928 7.9871 1.2702
H 0.5412 5.6296 5.3439
H 4.8631 4.6774 1.2654
H 5.1311 2.3840 2.8083
H 5.1311 8.3043 0.6098
H -2.7889 4.1679 4.6883
H 1.7971 3.5976 0.6049
H -3.4661 7.0350 2.8083
H 1.8010 -1.2693 4.7390
H -0.5412 0.3785 1.8752
H 1.7971 5.7893 0.6605
H 4.4579 7.4483 2.2034
H -0.1320 3.6296 0.6605
H -2.2063 5.0880 6.2819
H 2.2024 4.1707 3.4736
H 4.4539 5.2510 4.6883
H 3.4621 -1.1119 7.5521
H 1.1278 0.5388 4.6835
H -1.1238 -0.5415 3.4688
H -0.1320 5.8214 0.6049
H -1.1278 -2.7388 5.9537
H 5.5364 -0.3785 1.8752
H 3.4621 1.0798 7.4966
H 1.5330 -1.0798 7.4966
H 1.5291 5.9788 3.4181
H 3.8713 4.3310 6.2819
H 6.7962 -2.3255 5.3488
H 6.1190 0.5415 3.4688
H -1.8010 -3.5948 7.5473
H 1.5330 1.1119 7.5521
H 2.7889 -0.9201 2.8131
H -1.5330 0.0321 6.8917
H -1.8010 2.3255 5.3488
H 6.1229 -3.2776 6.8868
H 3.8674 -0.5388 4.6835
H -1.1278 3.2776 6.8868
H -3.4621 -0.0321 6.8917
H 2.2063 0.9201 2.8131
H -3.8674 2.7388 5.9537
H 3.1941 1.2693 4.7390
H -3.1941 3.5948 7.5473
```

Properties
**Total energy**: -523.55 eV/cell
**Magnetic moment**: 0.000 Bohr magnetons per cell
**Crystal system**: cubic
**Space group**: Ia-3d, No. 230

***

Entry 5:
Below is a relaxed HfTa2H2 crystal, with properties calculated at the GGA-PBE level.

Cell and atoms, written as extended XYZ:
```
10
Lattice="-2.6205 -0.8371 4.9926 -1.8047 -2.6601 -4.6669 5.2219 -2.0213 -0.8717" Properties=species:S:1:pos:R:3 pbc="T T T"
Hf -1.5029 -2.7824 -2.9018
Hf 2.2995 -2.7361 2.3559
Ta 1.7086 -2.3407 -2.7693
Ta 2.6109 -1.0107 -0.4358
Ta 0.3983 -2.7593 -0.2730
Ta -2.2126 -1.7486 0.1629
H -0.4176 -0.9909 -0.0212
H 1.2142 -4.5276 -0.5247
H 1.7258 -4.1817 -3.4524
H -0.9292 -1.3368 2.9064
```

Properties
**Magnetic moment**: 0.000 Bohr magnetons per cell
**Crystal system**: monoclinic
**Relative energy among the computed polymorphs**: 0.000 eV per atom
**Space group**: C2/c, No. 15

***

Entry 6:
Below is a relaxed HfTa2H6 crystal, with properties calculated at the GGA-PBE level.

Cell and atoms, written as extended XYZ:
```
9
Lattice="-1.0619 -2.2330 -2.0866 2.3927 -3.2082 2.2156 -4.5080 1.8274 2.7920" Properties=species:S:1:pos:R:3 pbc="T T T"
Hf 0.0000 0.0000 0.0000
Ta -2.5367 -0.5908 1.8840
Ta -0.6405 -3.0229 1.0370
H -3.6581 -0.9260 0.3054
H -0.6865 -1.1224 1.5345
H 0.4809 -2.6877 2.6155
H 0.0981 -1.9600 -0.4608
H -2.4907 -2.4913 1.3864
H 1.2326 -3.4812 0.5897
```

Properties
**Magnetic moment**: 0.000 Bohr magnetons per cell
**Crystal system**: monoclinic
**Relative energy among the computed polymorphs**: 0.000 eV per atom
**Space group**: C2/m, No. 12

***

Entry 7:
Below is a relaxed HfTaH3 crystal, with properties calculated at the GGA-PBE level.

Cell and atoms, written as extended XYZ:
```
5
Lattice="-3.2451 1.3656 0.9225 -0.4509 -2.6953 2.4038 1.5851 2.0290 2.5724" Properties=species:S:1:pos:R:3 pbc="T T T"
H -0.2254 -1.3477 1.2019
H 0.7925 1.0145 1.2862
H -1.6225 0.6828 0.4612
Hf 0.0000 0.0000 0.0000
Ta -1.0555 0.3496 2.9493
```

Properties
**Magnetic moment**: 0.000 Bohr magnetons per cell
**Crystal system**: cubic
**Relative energy among the computed polymorphs**: 0.430 eV per atom
**Space group**: Pm-3m, No. 221

***

Entry 8:
Below is a relaxed Hf2Ta2H crystal, with properties calculated at the GGA-PBE level.

Cell and atoms, written as extended XYZ:
```
5
Lattice="3.7280 0.0000 0.0000 0.0000 3.7280 0.0000 1.8640 1.8640 7.4617" Properties=species:S:1:pos:R:3 pbc="T T T"
H 0.0000 0.0000 0.0000
Hf 1.8640 1.8640 1.4578
Hf 3.7280 3.7280 6.0039
Ta 3.7280 1.8640 3.7309
Ta 1.8640 3.7280 3.7309
```

Properties
**Magnetic moment**: 0.000 Bohr magnetons per cell
**Crystal system**: tetragonal
**Relative energy among the computed polymorphs**: 0.615 eV per atom
**Space group**: I4/mmm, No. 139

***

Entry 9:
Below is a relaxed HfTa2H4 crystal, with properties calculated at the GGA-PBE level.

Cell and atoms, written as extended XYZ:
```
14
Lattice="-3.1154 4.3709 -2.3073 -0.7066 -3.1005 -4.9013 -1.5201 -2.2778 5.1492" Properties=species:S:1:pos:R:3 pbc="T T T"
Hf -2.0746 -2.3536 -1.6720
Hf -3.1097 4.3531 -2.3134
Ta -3.3522 -0.1392 0.5819
Ta -2.9455 -0.5506 -4.4434
Ta -2.5921 0.9997 -1.9927
Ta -1.7944 -2.3247 1.7355
H -3.1959 2.6902 -1.2336
H -1.9883 -0.6908 -2.7519
H -4.1969 0.3128 -1.1189
H -3.8799 1.6800 1.0412
H -1.8179 0.7664 -0.2161
H -2.5074 -0.5912 2.2826
H -2.8244 -1.9584 0.1225
H -3.3664 1.2330 -3.7694
```

Properties
**Total energy**: -97.26 eV/cell
**Magnetic moment**: 0.000 Bohr magnetons per cell
**Crystal system**: monoclinic
**Space group**: C2/c, No. 15

***

Entry 10:
Below is a relaxed Hf2TaH4 crystal, with properties calculated at the GGA-PBE level.

Cell and atoms, written as extended XYZ:
```
7
Lattice="3.0906 0.0000 0.0000 0.0000 4.8769 -0.1007 -1.5453 -2.4463 4.7114" Properties=species:S:1:pos:R:3 pbc="T T T"
Hf 1.5453 2.2962 1.4120
Hf 0.0000 0.1344 3.1987
Ta 0.0000 0.0000 0.0000
H 1.5453 -1.2549 3.1521
H 0.0000 3.6855 1.4586
H 1.5453 0.2550 1.3115
H 0.0000 2.1756 3.2992
```

Properties
**Magnetic moment**: 0.000 Bohr magnetons per cell
**Crystal system**: monoclinic
**Relative energy among the computed polymorphs**: 0.000 eV per atom
**Space group**: C2/m, No. 12

***

Entry 11:
Below is a relaxed Hf2TaH2 crystal, with properties calculated at the GGA-PBE level.

Cell and atoms, written as extended XYZ:
```
5
Lattice="-2.7257 0.6900 -1.3773 0.1469 -2.6701 -1.6284 -4.6838 -4.2709 3.5707" Properties=species:S:1:pos:R:3 pbc="T T T"
H -4.3494 -2.2854 0.3453
H -2.9131 -3.9655 0.2198
Hf -2.3171 -1.9833 0.0332
Hf -4.9455 -4.2676 0.5318
Ta 0.0000 0.0000 0.0000
```

Properties
**Total energy**: -39.67 eV/cell
**Magnetic moment**: 0.000 Bohr magnetons per cell
**Crystal system**: tetragonal
**Space group**: I4/mmm, No. 139

***

Entry 12:
Below is a relaxed Hf3TaH6 crystal, with properties calculated at the GGA-PBE level.

Cell and atoms, written as extended XYZ:
```
20
Lattice="-1.2894 4.9582 -2.7358 -4.3447 -2.6573 -2.7917 -3.6457 1.4312 4.2886" Properties=species:S:1:pos:R:3 pbc="T T T"
Hf -3.3835 3.5473 1.8496
Hf -5.0818 -1.2749 0.0440
Hf -6.1394 1.3369 2.2041
Hf -3.1403 2.3952 -3.4430
Hf -4.1979 5.0070 -1.2829
Hf -5.8962 0.1848 -3.0885
Ta 0.0000 0.0000 0.0000
Ta -4.6398 1.8660 -0.6195
H -4.1404 -0.7812 -3.2003
H -7.0504 -0.9449 -0.1662
H -6.1023 1.7684 -1.8629
H -4.8315 3.2772 -4.0676
H -6.3387 1.8918 0.2792
H -3.7592 0.1687 -0.4245
H -5.5204 3.5634 -0.8144
H -2.9410 1.8402 -1.5182
H -4.4482 0.4548 2.8287
H -3.1773 1.9636 0.6240
H -2.2293 4.6770 -1.0727
H -5.1393 4.5133 1.9614
```

Properties
**Total energy**: -130.77 eV/cell
**Magnetic moment**: 0.000 Bohr magnetons per cell
**Crystal system**: trigonal
**Space group**: R-3, No. 148